# 1
A geometry-optimized Ca3Ho2TaP6 structure, computed with PBE-GGA.

Calculated values
DOS at the Fermi energy ... 4.7 states/eV/cell
Energy of formation ... -1.15 eV/atom
ρ ... 5098 kg/m3
Electronic total energy ... -73.27 eV/cell

a = 6.8048 Å, b = 6.8048 Å, c = 7.0201 Å
α = 99.37°, β = 99.37°, γ = 120.03°
Closest atoms and distances in Å follow each position.
Positions (direct):
Ca1 0.1714 0.8286 0.5000  6 P 2.86-2.98
Ca2 0.8286 0.1714 0.5000  6 P 2.86-2.98
Ca3 0.5000 0.5000 0.5000  6 P 2.85-3.03
Ho1 0.3341 0.6659 0.0000  6 P 2.79
Ho2 0.6659 0.3341 0.0000  6 P 2.79
Ta1 0.0000 0.0000 0.0000  6 P 2.59-2.60
P1 0.9248 0.6132 0.7738  1 Ta 2.60, 2 Ho 2.79, 2 Ca 2.85-2.86
P2 0.7662 0.7662 0.2271  1 Ta 2.59, 2 Ho 2.79, 2 Ca 2.88
P3 0.0752 0.3868 0.2262  1 Ta 2.60, 2 Ho 2.79, 2 Ca 2.85-2.86
P4 0.6132 0.9248 0.7738  1 Ta 2.60, 2 Ho 2.79, 2 Ca 2.85-2.86
P5 0.2338 0.2338 0.7729  1 Ta 2.59, 2 Ho 2.79, 2 Ca 2.88
P6 0.3868 0.0752 0.2262  1 Ta 2.60, 2 Ho 2.79, 2 Ca 2.85-2.86

---

# 2
A geometry-optimized CaHo2ThP4 structure, computed with PBE-GGA.

Calculated values
DOS at the Fermi energy ... 1.0 states/eV/cell
Energy of formation ... -1.48 eV/atom
ρ ... 6311 kg/m3
Electronic total energy ... -52.09 eV/cell

a = 4.0830 Å, b = 7.0157 Å, c = 7.0598 Å
α = 109.20°, β = 90.00°, γ = 90.00°
Closest atoms and distances in Å follow each position.
Positions (direct):
Ca1 0.5000 0.5000 0.0000  6 P 2.91-2.93
Ho1 0.5000 0.0000 0.5000  6 P 2.83-2.84
Ho2 0.0000 0.5000 0.5000  6 P 2.86
Th1 0.0000 0.0000 0.0000  6 P 2.88-2.91
P1 0.5000 0.2508 0.2578  3 Ho 2.83-2.86, 1 Ca 2.91, 2 Th 2.91
P2 0.5000 0.7492 0.7422  3 Ho 2.83-2.86, 1 Ca 2.91, 2 Th 2.91
P3 0.0000 0.2426 0.7408  3 Ho 2.84-2.86, 1 Th 2.88, 2 Ca 2.93
P4 0.0000 0.7574 0.2592  3 Ho 2.84-2.86, 1 Th 2.88, 2 Ca 2.93

---

# 3
A geometry-optimized CaHoTh2P4 structure, computed with PBE-GGA.

Calculated values
DOS at the Fermi energy ... 1.6 states/eV/cell
Energy of formation ... -1.49 eV/atom
ρ ... 6722 kg/m3
Electronic total energy ... -55.01 eV/cell

a = 4.1256 Å, b = 7.1549 Å, c = 7.0478 Å
α = 109.68°, β = 90.00°, γ = 90.00°
Closest atoms and distances in Å follow each position.
Positions (direct):
Ca1 0.5000 0.5000 0.0000  6 P 2.91-2.92
Ho1 0.0000 0.0000 0.0000  6 P 2.88-2.89
Th1 0.5000 0.0000 0.5000  6 P 2.89-2.90
Th2 0.0000 0.5000 0.5000  6 P 2.92-2.93
P1 0.5000 0.2450 0.2461  2 Ho 2.88, 3 Th 2.90-2.93, 1 Ca 2.91
P2 0.5000 0.7550 0.7539  2 Ho 2.88, 3 Th 2.90-2.93, 1 Ca 2.91
P3 0.0000 0.2452 0.7482  1 Ho 2.89, 3 Th 2.89-2.92, 2 Ca 2.92
P4 0.0000 0.7548 0.2518  1 Ho 2.89, 3 Th 2.89-2.92, 2 Ca 2.92

---

# 4
A geometry-optimized CaHoTm2P4 structure, computed with PBE-GGA.

Calculated values
DOS at the Fermi energy ... 3.8 states/eV/cell
Energy of formation ... -1.40 eV/atom
ρ ... 6118 kg/m3
Electronic total energy ... -48.37 eV/cell

a = 3.9842 Å, b = 6.9315 Å, c = 6.9429 Å
α = 109.28°, β = 90.00°, γ = 90.00°
Closest atoms and distances in Å follow each position.
Positions (direct):
Ca1 0.5000 0.5000 0.0000  6 P 2.88
Ho1 0.0000 0.0000 0.0000  6 P 2.84
Tm1 0.5000 0.0000 0.5000  6 P 2.77-2.78
Tm2 0.0000 0.5000 0.5000  6 P 2.82
P1 0.5000 0.2475 0.2559  3 Tm 2.78-2.82, 2 Ho 2.84, 1 Ca 2.88
P2 0.5000 0.7525 0.7441  3 Tm 2.78-2.82, 2 Ho 2.84, 1 Ca 2.88
P3 0.0000 0.2412 0.7394  3 Tm 2.77-2.82, 1 Ho 2.84, 2 Ca 2.88
P4 0.0000 0.7588 0.2606  3 Tm 2.77-2.82, 1 Ho 2.84, 2 Ca 2.88

---

# 5
A geometry-optimized CaHo2UP4 structure, computed with PBE-GGA.

Calculated values
DOS at the Fermi energy ... 8.0 states/eV/cell
Energy of formation ... -1.31 eV/atom
ρ ... 6734 kg/m3
Electronic total energy ... -54.59 eV/cell

a = 5.6524 Å, b = 5.6524 Å, c = 6.9200 Å
α = 114.11°, β = 114.11°, γ = 90.00°
Closest atoms and distances in Å follow each position.
Positions (direct):
Ca1 0.5000 0.5000 0.0000  6 P 2.83-2.88
Ho1 0.2500 0.7500 0.5000  6 P 2.83-2.93
Ho2 0.0000 0.0000 0.0000  6 P 2.77-2.83
U1 0.7500 0.2500 0.5000  6 P 2.72-2.83
P1 0.9909 0.4909 0.9818  1 U 2.72, 2 Ca 2.83, 3 Ho 2.83-2.93
P2 0.5091 0.0091 0.0182  1 U 2.72, 3 Ho 2.83-2.93, 2 Ca 2.83
P3 0.7546 0.7546 0.5091  3 Ho 2.77-2.83, 2 U 2.83, 1 Ca 2.88
P4 0.2454 0.2454 0.4909  3 Ho 2.77-2.83, 2 U 2.83, 1 Ca 2.88

---

# 6
A geometry-optimized Ca3Ho2UP6 structure, computed with PBE-GGA.

Calculated values
Energy of formation ... -1.28 eV/atom
ρ ... 5170 kg/m3
Electronic total energy ... -74.23 eV/cell

a = 6.9795 Å, b = 6.9795 Å, c = 7.0501 Å
α = 99.52°, β = 99.52°, γ = 119.99°
Closest atoms and distances in Å follow each position.
Positions (direct):
Ca1 0.1699 0.8301 0.5000  6 P 2.91-3.00
Ca2 0.8301 0.1699 0.5000  6 P 2.91-3.00
Ca3 0.5000 0.5000 0.5000  6 P 2.91-3.04
Ho1 0.3337 0.6663 0.0000  6 P 2.82-2.83
Ho2 0.6663 0.3337 0.0000  6 P 2.82-2.83
U1 0.0000 0.0000 0.0000  6 P 2.68-2.69
P1 0.9241 0.6053 0.7713  1 U 2.69, 2 Ho 2.83, 3 Ca 2.91-3.00
P2 0.7585 0.7585 0.2270  1 U 2.68, 2 Ho 2.82, 2 Ca 2.94
P3 0.0759 0.3947 0.2287  1 U 2.69, 2 Ho 2.83, 3 Ca 2.91-3.00
P4 0.6053 0.9241 0.7713  1 U 2.69, 2 Ho 2.83, 3 Ca 2.91-3.00
P5 0.2415 0.2415 0.7730  1 U 2.68, 2 Ho 2.82, 2 Ca 2.94
P6 0.3947 0.0759 0.2287  1 U 2.69, 2 Ho 2.83, 3 Ca 2.91-3.00